Run A
# Zn2AsBr | the Alexandria database | GGA-PBEsol | optimized geometry
# - mass density (Mg/m³) = 4.87
# - V (Å³/cell) = 389.74
data_Zn2AsBr
_cell_length_a 5.741
_cell_length_b 5.741
_cell_length_c 11.827
_cell_angle_alpha 90.00
_cell_angle_beta 90.00
_cell_angle_gamma 90.00
_space_group_name_H-M_alt 'I -4 2 d'
_space_group_IT_number 122
_space_group_name_Hall 'I -4 2bw'
loop_
_atom_site_label
_atom_site_type_symbol
_atom_site_fract_x
_atom_site_fract_y
_atom_site_fract_z
Zn1 Zn 0.200 0.250 0.125
As1 As 0.000 0.000 0.000
Br1 Br 0.000 0.000 0.500

---

Run B
# Zn2AsBr | the Alexandria database | GGA-PBEsol | optimized geometry
# - N(E_F) (states/eV/f.u.) = 0.92
# - mass density (Mg/m³) = 5.64
# - V (Å³/cell) = 84.12
data_Zn2AsBr
_cell_length_a 3.613
_cell_length_b 3.613
_cell_length_c 6.443
_cell_angle_alpha 90.00
_cell_angle_beta 90.00
_cell_angle_gamma 90.00
_space_group_name_H-M_alt 'P 4 m m'
_space_group_IT_number 99
loop_
_space_group_symop_operation_xyz
'x,y,z'
'-y,x,z'
'-x,-y,z'
'y,-x,z'
'-x,y,z'
'y,x,z'
'x,-y,z'
'-y,-x,z'
loop_
_atom_site_label
_atom_site_type_symbol
_atom_site_fract_x
_atom_site_fract_y
_atom_site_fract_z
Zn1 Zn 0.000 0.000 0.000
Zn2 Zn 0.500 0.500 0.392
As1 As 0.000 0.000 0.370
Br1 Br 0.500 0.500 0.841

---

Most stable = run A

---

Run A
# AsC | the Alexandria database | GGA-PBEsol | optimized geometry
# - N(E_F) (states/eV/f.u.) = 0.76
# - mass density (Mg/m³) = 5.59
# - V (Å³/cell) = 25.81
data_AsC
_cell_length_a 2.891
_cell_length_b 2.891
_cell_length_c 3.089
_cell_angle_alpha 90.00
_cell_angle_beta 90.00
_cell_angle_gamma 90.00
_space_group_name_H-M_alt 'P 4/m m m'
_space_group_IT_number 123
_space_group_name_Hall '-P 4 2'
loop_
_atom_site_label
_atom_site_type_symbol
_atom_site_fract_x
_atom_site_fract_y
_atom_site_fract_z
As1 As 0.000 0.000 0.000
C1 C 0.500 0.500 0.000

---

Run B
# AsC | the Alexandria database | GGA-PBEsol | optimized geometry
# - N(E_F) (states/eV/f.u.) = 0.25
# - mass density (Mg/m³) = 5.35
# - V (Å³/cell) = 108.02
data_AsC
_cell_length_a 3.122
_cell_length_b 13.205
_cell_length_c 2.620
_cell_angle_alpha 90.00
_cell_angle_beta 90.00
_cell_angle_gamma 90.00
_space_group_name_H-M_alt 'C m c m'
_space_group_IT_number 63
_space_group_name_Hall '-C 2c 2'
loop_
_atom_site_label
_atom_site_type_symbol
_atom_site_fract_x
_atom_site_fract_y
_atom_site_fract_z
As1 As 0.000 0.132 0.250
C1 C 0.000 0.470 0.750

---

Run C
# AsC | the Alexandria database | GGA-PBEsol | optimized geometry
# - N(E_F) (states/eV/f.u.) = 0.63
# - mass density (Mg/m³) = 5.94
# - V (Å³/cell) = 97.20
data_AsC
_cell_length_a 10.831
_cell_length_b 3.056
_cell_length_c 3.056
_cell_angle_alpha 90.00
_cell_angle_beta 106.08
_cell_angle_gamma 90.00
_space_group_name_H-M_alt 'C 1 2/m 1'
_space_group_IT_number 12
loop_
_space_group_symop_operation_xyz
'x,y,z'
'-x,-y,-z'
'-x,y,-z'
'x,-y,z'
'x+1/2,y+1/2,z'
'-x+1/2,-y+1/2,-z'
'-x+1/2,y+1/2,-z'
'x+1/2,-y+1/2,z'
loop_
_atom_site_label
_atom_site_type_symbol
_atom_site_fract_x
_atom_site_fract_y
_atom_site_fract_z
As1 As 0.142 0.000 0.145
C1 C 0.163 0.500 0.664

---

Run D
# AsC | the Alexandria database | GGA-PBEsol | optimized geometry
# - N(E_F) (states/eV/f.u.) = 0.87
# - mass density (Mg/m³) = 5.60
# - V (Å³/cell) = 77.38
data_AsC
_cell_length_a 4.347
_cell_length_b 4.347
_cell_length_c 4.095
_cell_angle_alpha 90.00
_cell_angle_beta 90.00
_cell_angle_gamma 90.00
_space_group_name_H-M_alt 'P 4/m m m'
_space_group_IT_number 123
_space_group_name_Hall '-P 4 2'
loop_
_atom_site_label
_atom_site_type_symbol
_atom_site_fract_x
_atom_site_fract_y
_atom_site_fract_z
As1 As 0.000 0.000 0.000
As2 As 0.000 0.500 0.500
C1 C 0.000 0.000 0.500
C2 C 0.000 0.500 0.000

---

Most stable = run B

---

Run A
# CdAsCSe2 | the Alexandria database | GGA-PBEsol | optimized geometry
# - N(E_F) (states/eV/f.u.) = 3.16
# - mass density (Mg/m³) = 6.76
# - V (Å³/cell) = 87.79
data_CdAsCSe2
_cell_length_a 4.634
_cell_length_b 4.634
_cell_length_c 4.089
_cell_angle_alpha 90.00
_cell_angle_beta 90.00
_cell_angle_gamma 90.00
_space_group_name_H-M_alt 'P 4/m m m'
_space_group_IT_number 123
_space_group_name_Hall '-P 4 2'
loop_
_atom_site_label
_atom_site_type_symbol
_atom_site_fract_x
_atom_site_fract_y
_atom_site_fract_z
Cd1 Cd 0.000 0.000 0.000
As1 As 0.500 0.500 0.000
C1 C 0.500 0.500 0.500
Se1 Se 0.000 0.500 0.500

---

Run B
# CdAsCSe2 | the Alexandria database | GGA-PBEsol | optimized geometry
# - N(E_F) (states/eV/f.u.) = 6.35
# - mass density (Mg/m³) = 4.48
# - V (Å³/cell) = 132.35
data_CdAsCSe2
_cell_length_a 5.096
_cell_length_b 5.096
_cell_length_c 5.096
_cell_angle_alpha 90.00
_cell_angle_beta 90.00
_cell_angle_gamma 90.00
_space_group_name_H-M_alt 'P 4/m m m'
_space_group_IT_number 123
_space_group_name_Hall '-P 4 2'
loop_
_atom_site_label
_atom_site_type_symbol
_atom_site_fract_x
_atom_site_fract_y
_atom_site_fract_z
Cd1 Cd 0.000 0.000 0.000
As1 As 0.000 0.000 0.500
C1 C 0.500 0.500 0.500
Se1 Se 0.000 0.500 0.000

---

Most stable = run A

---

Run A
# AsCI3 | the Alexandria database | GGA-PBEsol | optimized geometry
# - N(E_F) (states/eV/f.u.) = 7.05
# - mass density (Mg/m³) = 4.49
# - V (Å³/cell) = 172.93
data_AsCI3
_cell_length_a 5.571
_cell_length_b 5.571
_cell_length_c 5.571
_cell_angle_alpha 90.00
_cell_angle_beta 90.00
_cell_angle_gamma 90.00
_space_group_name_H-M_alt 'P m -3 m'
_space_group_IT_number 221
_space_group_name_Hall '-P 4 2 3'
loop_
_atom_site_label
_atom_site_type_symbol
_atom_site_fract_x
_atom_site_fract_y
_atom_site_fract_z
As1 As 0.000 0.000 0.000
C1 C 0.500 0.500 0.500
I1 I 0.000 0.000 0.500

---

Run B
# AsCI3 | the Alexandria database | GGA-PBEsol | optimized geometry
# - N(E_F) (states/eV/f.u.) = 2.73
# - mass density (Mg/m³) = 6.48
# - V (Å³/cell) = 119.91
data_AsCI3
_cell_length_a 4.931
_cell_length_b 4.931
_cell_length_c 4.931
_cell_angle_alpha 90.00
_cell_angle_beta 90.00
_cell_angle_gamma 90.00
_space_group_name_H-M_alt 'P m -3 m'
_space_group_IT_number 221
_space_group_name_Hall '-P 4 2 3'
loop_
_atom_site_label
_atom_site_type_symbol
_atom_site_fract_x
_atom_site_fract_y
_atom_site_fract_z
As1 As 0.000 0.000 0.000
C1 C 0.500 0.500 0.500
I1 I 0.000 0.500 0.500

---

Most stable = run B